VASP calculation (GGA-PBE) on a relaxed Cr3InSi crystal.

Lattice parameters (Å, degrees): 4.3101 4.3101 4.3101 90.00 90.00 90.00
Space group Pm-3m (No. 221)
One atom of each set of equivalent atoms:
Cr 0.0000 0.0000 0.5000 [3 per cell]
In 0.5000 0.5000 0.5000 [1 per cell]
Si 0.0000 0.0000 0.0000 [1 per cell]

The calculation puts the uncorrected formation energy at 0.87 eV/atom. As for the size of the total moment: 0.0 μB/f.u. The calculation puts the calculated total energy at -6.5345 eV/atom. The theoretical density comes out at 6199 kg/m³.